(1)
BaCo2Ir (PBE, optimized geometry); ρ = 10.226 g/cm³; V = 18.2 Å³ per atom; calculated total energy = -5.219 eV/atom; spin magnetization = 3.29 μB/f.u.
1.0
0.000 3.312 3.312
3.312 0.000 3.312
3.312 3.312 0.000
Ir Co Ba
1 2 1
direct
0.250 0.250 0.250
0.750 0.750 0.750
0.000 0.000 0.000
0.500 0.500 0.500

=====

(2)
BaCoIr (PBE, optimized geometry); ρ = 9.168 g/cm³; energy above the most stable polymorph in this dataset = 0 meV/atom; V = 23.5 Å³ per atom; calculated total energy = -5.133 eV/atom; spin magnetization = 2.42 μB/f.u.
1.0
0.000 3.277 3.277
3.277 0.000 3.277
3.277 3.277 0.000
Ba Co Ir
1 1 1
direct
0.250 0.250 0.250
0.000 0.000 0.000
0.750 0.750 0.750

=====

(3)
BaCoIr2 (PBE, optimized geometry); ρ = 13.054 g/cm³; V = 18.5 Å³ per atom; calculated total energy = -5.722 eV/atom; spin magnetization = 2.74 μB/f.u.
1.0
0.000 3.330 3.330
3.330 0.000 3.330
3.330 3.330 0.000
Co Ir Ba
1 2 1
direct
0.250 0.250 0.250
0.750 0.750 0.750
0.000 0.000 0.000
0.500 0.500 0.500